[1]
A geometry-optimized Ac3Ga9Co2 structure, computed with GGA-PBE.

The space group is Immm (No. 71) and the conventional cell measures 4.371, 10.639 and 12.605 Å, with angles of 90.00, 90.00 and 90.00 degrees. The inequivalent atoms are Ac at (0.000, 0.000, 0.000), Ac at (0.000, 0.000, 0.316), Ga at (0.000, 0.284, 0.113), Ga at (0.000, 0.346, 0.334), Ga at (0.000, 0.500, 0.000) and Co at (0.000, 0.228, 0.500).

Its total magnetic moment is 0.00 μB/f.u. The formation energy is -0.41 eV per atom.


[2]
A geometry-optimized Ac4Ga2Co structure, computed with GGA-PBE.

The space group is P2_1/m (No. 11) and the conventional cell measures 6.597, 7.332 and 9.648 Å, with angles of 90.00, 105.36 and 90.00 degrees. The inequivalent atoms are Ac at (0.176, 0.250, 0.092), Ac at (0.275, 0.750, 0.385), Ac at (0.288, 0.504, 0.744), Ga at (0.134, 0.250, 0.444), Ga at (0.337, 0.750, 0.045) and Co at (0.440, 0.250, 0.355).

Its total magnetic moment is 0.00 μB/f.u. The formation energy is -0.24 eV per atom.


[3]
A geometry-optimized AcGa6Co2 structure, computed with GGA-PBE.

The space group is Fd-3m (No. 227, origin choice 2) and the conventional cell measures 11.699, 11.699 and 11.699 Å, with angles of 90.00, 90.00 and 90.00 degrees. The inequivalent atoms are Ac at (0.125, 0.125, 0.125), Ga at (0.088, 0.375, 0.875) and Co at (0.000, 0.000, 0.500).

Its total magnetic moment is 0.00 μB/f.u. The formation energy is 0.04 eV per atom.